Here is TbCeIn6 after structural relaxation from Alexandria via LeMat-Bulk. Energies are from GGA-PBE.

Values from the calculation:
- Energy: -3.798 eV per atom
- Distance to the lowest polymorph of the same formula: 0 meV per atom
- Formation energy: -0.424 eV/atom
- ρ: 8014 kg/m³

Structure (CIF):
```
data_TbCeIn6
_cell_length_a 4.680
_cell_length_b 4.680
_cell_length_c 9.344
_cell_angle_alpha 90.00
_cell_angle_beta 90.00
_cell_angle_gamma 90.00
_symmetry_space_group_name_H-M 'P 4/m m m'
_symmetry_Int_Tables_number 123
_symmetry_space_group_name_Hall '-P 4 2'
loop_
_atom_site_label
_atom_site_type_symbol
_atom_site_fract_x
_atom_site_fract_y
_atom_site_fract_z
Tb1 Tb 0.000 0.000 0.000
Ce1 Ce 0.000 0.000 0.500
In1 In 0.000 0.500 0.248
In2 In 0.500 0.500 0.000
In3 In 0.500 0.500 0.500
```